<i>
This record from the Alexandria database describes crystalline SnHRuRh2 at its relaxed geometry. The functional is PBE-GGA.

Lattice parameters (Å, degrees): 3.9762 3.9762 4.0592 90.00 90.00 90.00
Positions (direct):
Rh 0.5000 0.0000 0.0000
Rh 0.0000 0.5000 0.0000
Sn 0.5000 0.5000 0.5000
H 0.0000 0.0000 0.0000
Ru 0.0000 0.0000 0.5000

Total magnetic moment   0.000 μB per formula unit
Symmetry   P4/mmm


<ii>
This record from the Alexandria database describes crystalline SnHRuRh2 at its relaxed geometry. The functional is PBE-GGA.

Lattice parameters (Å, degrees): 4.9828 3.2751 4.9828 90.00 90.00 90.00
Each line ends with the local moment (μB).
Positions (direct):
Ru 0.5000 0.5000 0.5000  1.92
H 0.0000 0.5000 0.0000  -0.01
Sn 0.0000 0.0000 0.0000  -0.03
Rh 0.0000 0.0000 0.5000  0.42
Rh 0.5000 0.0000 0.0000  0.40

Total magnetic moment   2.770 μB per formula unit
Symmetry   P4/mmm


Winner for stability: <i>


<i>
This record from the Alexandria database describes crystalline SnHRu2Rh at its relaxed geometry. The functional is PBE-GGA.

Lattice parameters (Å, degrees): 3.9962 3.9962 4.0110 90.00 90.00 90.00
Positions (direct):
Ru 0.5000 0.0000 0.0000
Ru 0.0000 0.5000 0.0000
Sn 0.5000 0.5000 0.5000
Rh 0.0000 0.0000 0.5000
H 0.0000 0.0000 0.0000

Total magnetic moment   0.000 μB per formula unit
Symmetry   P4/mmm


<ii>
This record from the Alexandria database describes crystalline SnHRu2Rh at its relaxed geometry. The functional is PBE-GGA.

Lattice parameters (Å, degrees): 4.9579 4.8839 4.9579 90.00 90.00 90.00
Each line ends with the local moment (μB).
Positions (direct):
Ru 0.0000 0.0000 0.5000  1.86
Ru 0.5000 0.0000 0.0000  1.55
H 0.5000 0.5000 0.5000  0.00
Sn 0.0000 0.0000 0.0000  -0.10
Rh 0.0000 0.5000 0.0000  0.49

Total magnetic moment   4.000 μB per formula unit
Symmetry   P4/mmm


Winner for stability: <i>


<i>
This record from the Alexandria database describes crystalline Ta2HRuRh at its relaxed geometry. The functional is PBE-GGA.

Lattice parameters (Å, degrees): 4.1635 4.1635 3.8084 90.00 90.00 90.00
Positions (direct):
Rh 0.0000 0.0000 0.5000
H 0.0000 0.0000 0.0000
Ru 0.5000 0.5000 0.5000
Ta 0.0000 0.5000 0.0000
Ta 0.5000 0.0000 0.0000

Total magnetic moment   0.000 μB per formula unit
Symmetry   P4/mmm


<ii>
This record from the Alexandria database describes crystalline Ta2HRuRh at its relaxed geometry. The functional is PBE-GGA.

Lattice parameters (Å, degrees): 4.1729 4.1729 3.7904 90.00 90.00 90.00
Positions (direct):
H 0.0000 0.0000 0.0000
Ta 0.0000 0.5000 0.0000
Ta 0.5000 0.0000 0.0000
Rh 0.5000 0.5000 0.5000
Ru 0.0000 0.0000 0.5000

Total magnetic moment   0.000 μB per formula unit
Symmetry   P4/mmm


Winner for stability: <ii>


<i>
This record from the Alexandria database describes crystalline TaHRu2Rh at its relaxed geometry. The functional is PBE-GGA.

Lattice parameters (Å, degrees): 3.9533 3.9533 3.9167 90.00 90.00 90.00
Positions (direct):
Ru 0.0000 0.5000 0.0000
Ru 0.5000 0.0000 0.0000
Ta 0.5000 0.5000 0.5000
H 0.0000 0.0000 0.0000
Rh 0.0000 0.0000 0.5000

Total magnetic moment   0.000 μB per formula unit
Symmetry   P4/mmm


<ii>
This record from the Alexandria database describes crystalline TaHRu2Rh at its relaxed geometry. The functional is PBE-GGA.

Lattice parameters (Å, degrees): 3.8965 3.8965 4.0478 90.00 90.00 90.00
Positions (direct):
Ru 0.5000 0.0000 0.0000
Ru 0.0000 0.5000 0.0000
H 0.0000 0.0000 0.0000
Ta 0.0000 0.0000 0.5000
Rh 0.5000 0.5000 0.5000

Total magnetic moment   0.000 μB per formula unit
Symmetry   P4/mmm


Winner for stability: <i>


<i>
This record from the Alexandria database describes crystalline HRuRhW2 at its relaxed geometry. The functional is PBE-GGA.

Lattice parameters (Å, degrees): 4.0025 4.0025 3.8802 90.00 90.00 90.00
Positions (direct):
W 0.0000 0.5000 0.0000
W 0.5000 0.0000 0.0000
Rh 0.0000 0.0000 0.5000
Ru 0.5000 0.5000 0.5000
H 0.0000 0.0000 0.0000

Total magnetic moment   0.000 μB per formula unit
Symmetry   P4/mmm


<ii>
This record from the Alexandria database describes crystalline HRuRhW2 at its relaxed geometry. The functional is PBE-GGA.

Lattice parameters (Å, degrees): 3.9964 3.9964 3.8888 90.00 90.00 90.00
Positions (direct):
W 0.5000 0.0000 0.0000
W 0.0000 0.5000 0.0000
H 0.0000 0.0000 0.0000
Ru 0.0000 0.0000 0.5000
Rh 0.5000 0.5000 0.5000

Total magnetic moment   0.000 μB per formula unit
Symmetry   P4/mmm


Winner for stability: <ii>


<i>
This record from the Alexandria database describes crystalline Zr2HRuRh at its relaxed geometry. The functional is PBE-GGA.

Lattice parameters (Å, degrees): 4.5455 4.5455 3.5757 90.00 90.00 90.00
Positions (direct):
Ru 0.5000 0.5000 0.5000
Zr 0.0000 0.5000 0.0000
Zr 0.5000 0.0000 0.0000
H 0.0000 0.0000 0.0000
Rh 0.0000 0.0000 0.5000

Total magnetic moment   0.000 μB per formula unit
Symmetry   P4/mmm


<ii>
This record from the Alexandria database describes crystalline Zr2HRuRh at its relaxed geometry. The functional is PBE-GGA.

Lattice parameters (Å, degrees): 4.5252 4.5252 3.6081 90.00 90.00 90.00
Positions (direct):
Zr 0.0000 0.5000 0.0000
Zr 0.5000 0.0000 0.0000
H 0.0000 0.0000 0.0000
Ru 0.0000 0.0000 0.5000
Rh 0.5000 0.5000 0.5000

Total magnetic moment   0.000 μB per formula unit
Symmetry   P4/mmm


Winner for stability: <ii>


<i>
This record from the Alexandria database describes crystalline HRh2S at its relaxed geometry. The functional is PBE-GGA.

Lattice parameters (Å, degrees): 3.8986 3.8986 5.3199 68.51 68.51 60.00
Positions (direct):
Rh 0.8825 0.8825 0.3525
Rh 0.1175 0.1175 0.6475
S 0.5000 0.5000 0.5000
H 0.0000 0.0000 0.0000

Total magnetic moment   0.000 μB per formula unit
Symmetry   R-3m


<ii>
This record from the Alexandria database describes crystalline HRh2S at its relaxed geometry. The functional is PBE-GGA.

Lattice parameters (Å, degrees): 4.0066 4.0066 4.0066 60.00 60.00 60.00
Positions (direct):
Rh 0.7500 0.7500 0.7500
Rh 0.2500 0.2500 0.2500
S 0.5000 0.5000 0.5000
H 0.0000 0.0000 0.0000

Total magnetic moment   0.000 μB per formula unit
Symmetry   Fm-3m


<iii>
This record from the Alexandria database describes crystalline HRh2S at its relaxed geometry. The functional is PBE-GGA.

Lattice parameters (Å, degrees): 4.7376 4.7376 5.6557 65.24 65.24 90.00
Positions (direct):
S 0.0000 0.0000 0.0000
S 0.7500 0.2500 0.5000
Rh 0.3750 0.4460 0.7500
Rh 0.1960 0.6250 0.2500
Rh 0.8750 0.8040 0.7500
Rh 0.5540 0.1250 0.2500
H 0.2500 0.7500 0.5000
H 0.5000 0.5000 0.0000

Total magnetic moment   0.000 μB per formula unit
Symmetry   I-42d


Winner for stability: <iii>


<i>
This record from the Alexandria database describes crystalline H3RhS at its relaxed geometry. The functional is PBE-GGA.

Lattice parameters (Å, degrees): 3.4567 3.4567 3.4567 90.00 90.00 90.00
Each line ends with the local moment (μB).
Positions (direct):
H 0.5000 0.0000 0.0000  0.00
H 0.0000 0.5000 0.0000  -0.01
H 0.0000 0.0000 0.5000  0.00
Rh 0.5000 0.5000 0.5000  0.41
S 0.0000 0.0000 0.0000  0.03

Total magnetic moment   0.409 μB per formula unit
Symmetry   Pm-3m


<ii>
This record from the Alexandria database describes crystalline H3RhS at its relaxed geometry. The functional is PBE-GGA.

Lattice parameters (Å, degrees): 3.5187 3.5187 3.5187 90.00 90.00 90.00
Positions (direct):
H 0.5000 0.0000 0.0000
H 0.0000 0.0000 0.5000
H 0.0000 0.5000 0.0000
S 0.5000 0.5000 0.5000
Rh 0.0000 0.0000 0.0000

Total magnetic moment   0.000 μB per formula unit
Symmetry   Pm-3m


Winner for stability: <ii>


<i>
This record from the Alexandria database describes crystalline SbHRh3 at its relaxed geometry. The functional is PBE-GGA.

Lattice parameters (Å, degrees): 4.0064 4.0064 4.0064 90.00 90.00 90.00
Positions (direct):
H 0.0000 0.0000 0.0000
Rh 0.0000 0.0000 0.5000
Rh 0.5000 0.0000 0.0000
Rh 0.0000 0.5000 0.0000
Sb 0.5000 0.5000 0.5000

Total magnetic moment   0.000 μB per formula unit
Symmetry   Pm-3m


<ii>
This record from the Alexandria database describes crystalline SbHRh3 at its relaxed geometry. The functional is PBE-GGA.

Lattice parameters (Å, degrees): 5.1368 7.3277 7.5495 90.00 90.00 90.00
Positions (direct):
Rh 0.0615 0.5701 0.8343
Rh 0.2266 0.7500 0.1786
Rh 0.2734 0.2500 0.6786
Rh 0.5615 0.5701 0.6657
Rh 0.4385 0.4299 0.3343
Rh 0.5615 0.9299 0.6657
Rh 0.7734 0.2500 0.8214
Rh 0.0615 0.9299 0.8343
Rh 0.9385 0.0701 0.1657
Rh 0.7266 0.7500 0.3214
Rh 0.9385 0.4299 0.1657
Rh 0.4385 0.0701 0.3343
Sb 0.0000 0.0000 0.5000
Sb 0.5000 0.5000 0.0000
Sb 0.0000 0.5000 0.5000
Sb 0.5000 0.0000 0.0000
H 0.5076 0.2500 0.5079
H 0.4924 0.7500 0.4921
H 0.0076 0.2500 0.9921
H 0.9924 0.7500 0.0079

Total magnetic moment   0.000 μB per formula unit
Symmetry   Pnma


<iii>
This record from the Alexandria database describes crystalline SbHRh3 at its relaxed geometry. The functional is PBE-GGA.

Lattice parameters (Å, degrees): 3.9013 3.9013 6.0295 90.00 90.00 90.00
Each line ends with the local moment (μB).
Positions (direct):
Rh 0.0000 0.5000 0.4522  0.12
Rh 0.5000 0.0000 0.4522  0.12
Rh 0.0000 0.0000 0.7352  0.27
H 0.5000 0.5000 0.4708  0.00
Sb 0.0000 0.0000 0.1534  -0.01

Total magnetic moment   0.507 μB per formula unit
Symmetry   P4mm


<iv>
This record from the Alexandria database describes crystalline SbHRh3 at its relaxed geometry. The functional is PBE-GGA.

Lattice parameters (Å, degrees): 4.4624 4.4624 7.8618 90.00 90.00 120.00
Positions (direct):
H 0.0000 0.0000 0.0000
H 0.0000 0.0000 0.5000
Rh 0.6667 0.3333 0.5741
Rh 0.3333 0.6667 0.0741
Rh 0.0000 0.0000 0.7500
Rh 0.3333 0.6667 0.4259
Rh 0.6667 0.3333 0.9259
Rh 0.0000 0.0000 0.2500
Sb 0.3333 0.6667 0.7500
Sb 0.6667 0.3333 0.2500

Total magnetic moment   0.000 μB per formula unit
Symmetry   P6_3/mmc


Winner for stability: <i>


<i>
This record from the Alexandria database describes crystalline SbHRh3 at its relaxed geometry. The functional is PBE-GGA.

Lattice parameters (Å, degrees): 7.0084 7.0084 7.0084 42.15 42.15 42.15
Positions (direct):
Sb 0.6667 0.6667 0.6667
Sb 0.3333 0.3333 0.3333
H 0.9275 0.9275 0.9275
H 0.0725 0.0725 0.0725
Rh 0.5563 0.8926 0.2289
Rh 0.8926 0.2289 0.5563
Rh 0.4437 0.1074 0.7711
Rh 0.1074 0.7711 0.4437
Rh 0.2289 0.5563 0.8926
Rh 0.7711 0.4437 0.1074

Total magnetic moment   0.000 μB per formula unit
Symmetry   R-3


<ii>
This record from the Alexandria database describes crystalline SbHRh3 at its relaxed geometry. The functional is PBE-GGA.

Lattice parameters (Å, degrees): 4.3929 5.2355 5.2355 120.69 90.00 90.00
Positions (direct):
H 0.0000 0.4027 0.5973
Rh 0.5000 0.8981 0.6351
Rh 0.0000 0.5751 0.4249
Rh 0.5000 0.3649 0.1019
Sb 0.5000 0.3872 0.6128

Total magnetic moment   0.000 μB per formula unit
Symmetry   Amm2


<iii>
This record from the Alexandria database describes crystalline SbHRh3 at its relaxed geometry. The functional is PBE-GGA.

Lattice parameters (Å, degrees): 11.1775 7.0687 7.0687 104.29 132.93 47.07
Positions (direct):
Rh 0.4224 0.2497 0.3903
Rh 0.0671 0.2579 0.0991
Rh 0.0776 0.8903 0.7497
Rh 0.0896 0.5866 0.4107
Rh 0.5671 0.4009 0.2421
Rh 0.4104 0.9107 0.0866
Rh 0.9104 0.4134 0.5893
Rh 0.5896 0.0893 0.9134
Rh 0.9224 0.1097 0.2503
Rh 0.4329 0.5991 0.7579
Rh 0.5776 0.7503 0.6097
Rh 0.9329 0.7421 0.9009
H 0.3338 0.1869 0.5073
H 0.8338 0.9927 0.3131
H 0.1662 0.0073 0.6869
H 0.6662 0.8131 0.4927
Sb 0.7500 0.2376 0.7376
Sb 0.2500 0.3741 0.8741
Sb 0.2500 0.7624 0.2624
Sb 0.7500 0.6259 0.1259

Total magnetic moment   0.000 μB per formula unit
Symmetry   C2/c


Winner for stability: <iii>


<i>
This record from the Alexandria database describes crystalline SbHRh3 at its relaxed geometry. The functional is PBE-GGA.

Lattice parameters (Å, degrees): 5.2079 5.2079 6.3911 65.96 65.96 90.00
Positions (direct):
Rh 0.1299 0.3777 0.7401
Rh 0.3663 0.3663 0.2674
Rh 0.1179 0.8701 0.2599
Rh 0.6337 0.6337 0.7326
Rh 0.6223 0.8701 0.2599
Rh 0.1299 0.8821 0.7401
H 0.2500 0.7500 0.5000
H 0.0000 0.0000 0.0000
Sb 0.9087 0.4087 0.1825
Sb 0.5913 0.0913 0.8175

Total magnetic moment   0.000 μB per formula unit
Symmetry   I-4m2


<ii>
This record from the Alexandria database describes crystalline SbHRh3 at its relaxed geometry. The functional is PBE-GGA.

Lattice parameters (Å, degrees): 5.6613 5.6613 5.6770 119.91 119.92 90.00
Positions (direct):
Rh 0.7460 0.8250 0.6164
Rh 0.7027 0.3262 0.6186
Rh 0.2241 0.8047 0.1181
Rh 0.2034 0.2824 0.6199
Rh 0.7254 0.3027 0.1182
Rh 0.2467 0.7813 0.6177
H 0.9748 0.5537 0.6181
H 0.4748 0.0538 0.6182
Sb 0.7249 0.8039 0.1182
Sb 0.2247 0.3036 0.1182

Total magnetic moment   0.000 μB per formula unit
Symmetry   C2/m


Winner for stability: <ii>